[1]
# PBE DySi2PdPt5, optimized geometry
data_DySi2PdPt5
_cell_length_a 4.007
_cell_length_b 4.007
_cell_length_c 10.870
_cell_angle_alpha 90.00
_cell_angle_beta 90.00
_cell_angle_gamma 90.00
_symmetry_space_group_name_H-M 'P 4/m m m'
_symmetry_Int_Tables_number 123
_symmetry_space_group_name_Hall '-P 4 2'
loop_
_atom_site_label
_atom_site_type_symbol
_atom_site_fract_x
_atom_site_fract_y
_atom_site_fract_z
Dy1 Dy 0.000 0.000 0.000
Si1 Si 0.500 0.500 0.215
Pd1 Pd 0.000 0.000 0.500
Pt1 Pt 0.000 0.500 0.329
Pt2 Pt 0.500 0.500 0.000
# VASP energy ... -6.2034 eV/atom
# Density ... 12.4 g/cm³
# Total magnetic moment ... 0.00 μB/atom
# Calculated volume ... 19.4 Å³/atom

[2]
# PBE La2UCr2C4, optimized geometry
data_La2UCr2C4
_cell_length_a 13.336
_cell_length_b 3.477
_cell_length_c 6.137
_cell_angle_alpha 90.00
_cell_angle_beta 108.45
_cell_angle_gamma 90.00
_symmetry_space_group_name_H-M 'C 1 2/m 1'
_symmetry_Int_Tables_number 12
loop_
_symmetry_equiv_pos_as_xyz
'x,y,z'
'-x,-y,-z'
'-x,y,-z'
'x,-y,z'
'x+1/2,y+1/2,z'
'-x+1/2,-y+1/2,-z'
'-x+1/2,y+1/2,-z'
'x+1/2,-y+1/2,z'
loop_
_atom_site_label
_atom_site_type_symbol
_atom_site_fract_x
_atom_site_fract_y
_atom_site_fract_z
La1 La 0.133 0.000 0.035
U1 U 0.000 0.000 0.500
Cr1 Cr 0.183 0.500 0.501
C1 C 0.043 0.500 0.281
C2 C 0.215 0.000 0.671
# Density ... 8.2 g/cm³
# Formation energy from the elements ... -5.5 kJ/mol of atoms
# Total magnetic moment ... 0.17 μB/atom
# Calculated volume ... 15.0 Å³/atom

Q: Number 2 is which compound?
A: La2UCr2C4